(1)
Compound: SrLi2Os2O7
Source: Alexandria
Functional: PBE
Structure: relaxed

Unit cell a=9.792 b=9.792 c=9.792 alpha=157.35 beta=157.35 gamma=32.24
Positions (direct):
Sr  0.000  0.000  0.000
Li  0.250  0.750  0.500
Li  0.750  0.250  0.500
Os  0.386  0.386  0.000
Os  0.614  0.614  0.000
O  0.108  0.608  0.500
O  0.284  0.284  0.000
O  0.392  0.892  0.500
O  0.500  0.500  0.000
O  0.608  0.108  0.500
O  0.716  0.716  0.000
O  0.892  0.392  0.500

Results
For the formation energy from raw total energies, the calculation gives -1.5812 eV per atom. For the density of states at the Fermi level, the calculation gives 0.5820 states/eV per atom.

(2)
Compound: Li2TaOsO6
Source: Alexandria
Functional: PBE
Structure: relaxed

Unit cell a=5.602 b=5.602 c=3.869 alpha=90.00 beta=90.00 gamma=90.00
Positions (direct):
Li  0.000  0.500  0.000
Li  0.500  0.000  0.000
Ta  0.000  0.000  0.789
Os  0.500  0.500  0.815
O  0.000  0.000  0.302
O  0.251  0.251  0.822
O  0.251  0.749  0.822
O  0.500  0.500  0.316
O  0.749  0.251  0.822
O  0.749  0.749  0.822

Results
For the formation energy from raw total energies, the calculation gives -1.9159 eV per atom. For the density of states at the Fermi level, the calculation gives 0.4186 states/eV per atom.

(3)
Compound: LiTaOsO6
Source: Alexandria
Functional: PBE
Structure: relaxed

Unit cell a=4.774 b=4.774 c=9.065 alpha=90.00 beta=90.00 gamma=90.00
Positions (direct):
Li  0.000  0.000  0.000
Li  0.500  0.500  0.500
Ta  0.000  0.000  0.668
Ta  0.500  0.500  0.168
Os  0.000  0.000  0.328
Os  0.500  0.500  0.828
O  0.185  0.185  0.491
O  0.206  0.206  0.181
O  0.215  0.215  0.816
O  0.285  0.715  0.316
O  0.294  0.706  0.681
O  0.315  0.685  0.991
O  0.685  0.315  0.991
O  0.706  0.294  0.681
O  0.715  0.285  0.316
O  0.785  0.785  0.816
O  0.794  0.794  0.181
O  0.815  0.815  0.491

Results
For the formation energy from raw total energies, the calculation gives -1.8454 eV per atom. For the density of states at the Fermi level, the calculation gives 0.3310 states/eV per atom.

(4)
Compound: LiTbOs2O8
Source: Alexandria
Functional: PBE
Structure: relaxed

Unit cell a=6.701 b=6.701 c=6.701 alpha=134.40 beta=134.40 gamma=66.47
Positions (direct):
Li  0.000  0.000  0.000
Tb  0.250  0.750  0.500
Os  0.500  0.500  0.000
Os  0.750  0.250  0.500
O  0.004  0.085  0.422
O  0.249  0.663  0.083
O  0.337  0.420  0.586
O  0.418  0.996  0.081
O  0.580  0.166  0.917
O  0.663  0.582  0.578
O  0.834  0.751  0.414
O  0.915  0.337  0.919

Results
For the formation energy from raw total energies, the calculation gives -1.5242 eV per atom. For the density of states at the Fermi level, the calculation gives 0.4859 states/eV per atom.

(5)
Compound: Li2ThOsO8
Source: Alexandria
Functional: PBE
Structure: relaxed

Unit cell a=4.646 b=6.643 c=4.651 alpha=90.00 beta=94.94 gamma=90.00
Positions (direct):
Li  0.000  0.212  0.000
Li  0.000  0.788  0.000
Th  0.500  0.500  0.500
Os  0.500  0.000  0.500
O  0.119  0.500  0.117
O  0.215  0.000  0.213
O  0.313  0.214  0.686
O  0.313  0.786  0.686
O  0.687  0.214  0.314
O  0.687  0.786  0.314
O  0.785  0.000  0.787
O  0.881  0.500  0.883

Results
For the formation energy from raw total energies, the calculation gives -1.6681 eV per atom. For the density of states at the Fermi level, the calculation gives 0.1448 states/eV per atom.

(6)
Compound: LiTlOs2O8
Source: Alexandria
Functional: PBE
Structure: relaxed

Unit cell a=5.453 b=5.453 c=7.990 alpha=93.18 beta=93.18 gamma=67.10
Positions (direct):
Li  0.000  0.000  0.000
Tl  0.000  0.000  0.500
Os  0.369  0.369  0.214
Os  0.631  0.631  0.786
O  0.224  0.224  0.058
O  0.229  0.720  0.195
O  0.280  0.771  0.805
O  0.310  0.310  0.420
O  0.690  0.690  0.580
O  0.720  0.229  0.195
O  0.771  0.280  0.805
O  0.776  0.776  0.942

Results
For the formation energy from raw total energies, the calculation gives -1.0879 eV per atom. For the density of states at the Fermi level, the calculation gives 0.6945 states/eV per atom.

(7)
Compound: Li2Tl3OsO6
Source: Alexandria
Functional: PBE
Structure: relaxed

Unit cell a=5.938 b=5.938 c=6.185 alpha=94.31 beta=94.31 gamma=122.46
Positions (direct):
Li  0.211  0.789  0.000
Li  0.789  0.211  0.000
Tl  0.000  0.000  0.500
Tl  0.325  0.675  0.500
Tl  0.675  0.325  0.500
Os  0.500  0.500  0.000
O  0.158  0.421  0.868
O  0.346  0.346  0.258
O  0.421  0.158  0.868
O  0.579  0.842  0.132
O  0.654  0.654  0.742
O  0.842  0.579  0.132

Results
For the formation energy from raw total energies, the calculation gives -1.0760 eV per atom. For the density of states at the Fermi level, the calculation gives 0.3171 states/eV per atom.

(8)
Compound: LiTl2Os3O12
Source: Alexandria
Functional: PBE
Structure: relaxed

Unit cell a=7.362 b=7.362 c=7.362 alpha=59.05 beta=59.05 gamma=59.05
Positions (direct):
Li  0.000  0.000  0.000
Tl  0.394  0.394  0.394
Tl  0.606  0.606  0.606
Os  0.000  0.000  0.500
Os  0.000  0.500  0.000
Os  0.500  0.000  0.000
O  0.051  0.051  0.679
O  0.051  0.679  0.051
O  0.070  0.679  0.679
O  0.321  0.321  0.930
O  0.321  0.930  0.321
O  0.321  0.949  0.949
O  0.679  0.051  0.051
O  0.679  0.070  0.679
O  0.679  0.679  0.070
O  0.930  0.321  0.321
O  0.949  0.321  0.949
O  0.949  0.949  0.321

Results
For the formation energy from raw total energies, the calculation gives -1.0063 eV per atom. For the density of states at the Fermi level, the calculation gives 0.0644 states/eV per atom.

(9)
Compound: LiTl2Os2O7
Source: Alexandria
Functional: PBE
Structure: relaxed

Unit cell a=3.827 b=3.827 c=12.295 alpha=98.87 beta=98.87 gamma=90.00
Positions (direct):
Li  0.000  0.000  0.000
Tl  0.190  0.190  0.380
Tl  0.810  0.810  0.620
Os  0.419  0.419  0.835
Os  0.581  0.581  0.165
O  0.079  0.579  0.161
O  0.340  0.340  0.676
O  0.421  0.921  0.839
O  0.500  0.500  0.000
O  0.579  0.079  0.161
O  0.660  0.660  0.324
O  0.921  0.421  0.839

Results
For the formation energy from raw total energies, the calculation gives -0.9714 eV per atom. For the density of states at the Fermi level, the calculation gives 0.4100 states/eV per atom.

(10)
Compound: Li2Tl2OsO6
Source: Alexandria
Functional: PBE
Structure: relaxed

Unit cell a=6.349 b=6.349 c=6.349 alpha=55.06 beta=55.06 gamma=55.06
Positions (direct):
Li  0.095  0.095  0.095
Li  0.905  0.905  0.905
Tl  0.287  0.287  0.287
Tl  0.713  0.713  0.713
Os  0.500  0.500  0.500
O  0.271  0.718  0.718
O  0.282  0.282  0.729
O  0.282  0.729  0.282
O  0.718  0.271  0.718
O  0.718  0.718  0.271
O  0.729  0.282  0.282

Results
For the formation energy from raw total energies, the calculation gives -1.1628 eV per atom. For the density of states at the Fermi level, the calculation gives 0.0069 states/eV per atom.

(11)
Compound: Li2TlOsO6
Source: Alexandria
Functional: PBE
Structure: relaxed

Unit cell a=5.810 b=5.810 c=5.058 alpha=115.39 beta=115.39 gamma=56.48
Positions (direct):
Li  0.242  0.242  0.329
Li  0.758  0.758  0.671
Tl  0.500  0.500  0.000
Os  0.000  0.000  0.500
O  0.144  0.654  0.605
O  0.158  0.158  0.888
O  0.346  0.856  0.395
O  0.654  0.144  0.605
O  0.842  0.842  0.112
O  0.856  0.346  0.395

Results
For the formation energy from raw total energies, the calculation gives -1.1604 eV per atom. For the density of states at the Fermi level, the calculation gives 0.3113 states/eV per atom.

(12)
Compound: Li2TlOsO4
Source: Alexandria
Functional: PBE
Structure: relaxed

Unit cell a=5.518 b=5.518 c=5.518 alpha=121.97 beta=121.97 gamma=86.63
Positions (direct):
Li  0.250  0.750  0.500
Li  0.750  0.250  0.500
Tl  0.000  0.000  0.000
Os  0.500  0.500  0.000
O  0.161  0.523  0.000
O  0.477  0.477  0.637
O  0.523  0.161  0.000
O  0.839  0.839  0.363

Results
For the formation energy from raw total energies, the calculation gives -1.1242 eV per atom. For the density of states at the Fermi level, the calculation gives 0.7897 states/eV per atom.